CeWN2: relaxed, PBE.

Cell: 2.820 2.820 5.943 Å, 90.00 90.00 90.00°
Atoms (fractional coordinates):
Ce 0.000 0.000 0.000
W 0.000 0.000 0.500
N 0.500 0.500 0.294
N 0.500 0.500 0.706

Results
magnetic moment = 0.79 μB/f.u.
space-group type = No. 123
ΔE to the lowest computed polymorph = 916 meV/atom
E_tot = -9.026 eV/atom